Pm3Rh8Pb: relaxed, PBE.

Results
The calculation puts the formation energy at -0.535 eV per atom. As for the uncorrected energy: -6.93 eV/atom. As for the space group: R3m.

Cell: 9.3743 9.3743 9.3743 Å, 33.32 33.32 33.32°
Last column: nearest neighbours and their distance in Å.
Sites, in units of the cell vectors:
Pm  0.0000  0.0000  0.0000  12 Rh 3.14-3.18, 4 Pm 3.33-3.39
Pm  0.1276  0.1276  0.1276  12 Rh 3.10-3.21, 3 Pb 3.25, 1 Pm 3.39
Pm  0.6206  0.6206  0.6206  12 Rh 3.11-3.25, 1 Pb 3.26, 3 Pm 3.33
Rh  0.0615  0.0615  0.5631  6 Rh 2.68-2.70
Rh  0.0615  0.5631  0.0615  6 Rh 2.68-2.70
Rh  0.0623  0.5611  0.5611  6 Rh 2.68-2.71
Rh  0.3116  0.3116  0.3116  6 Rh 2.70
Rh  0.5611  0.0623  0.5611  6 Rh 2.68-2.71
Rh  0.5611  0.5611  0.0623  6 Rh 2.68-2.71
Rh  0.5631  0.0615  0.0615  6 Rh 2.68-2.70
Rh  0.8120  0.8120  0.8120  6 Rh 2.70-2.71
Pb  0.4980  0.4980  0.4980  12 Rh 3.14-3.18, 4 Pm 3.25-3.26